Entry P
First-principles (GGA-PBE) data for a relaxed AlNiTe crystal, as listed in Alexandria via LeMat-Bulk.

ρ (Mg/m³): 5.88
DOS at the Fermi energy (states/eV/cell): 1.527
SG: I4mm, No. 107

Unit cell a=6.8111 b=6.8111 c=6.8111 alpha=154.10 beta=154.09 gamma=36.96
Last column: nearest neighbours and their distance in Å.
Sites, in units of the cell vectors:
Ni1 0.4613 0.4613 0.0000  4 Al 2.41, 1 Te 2.58
Te1 0.6608 0.6608 0.0000  1 Ni 2.58, 1 Al 2.80
Al1 0.8779 0.8779 0.0000  4 Ni 2.41

=====

Entry Q
First-principles (GGA-PBE) data for a relaxed AlNiTe crystal, as listed in Alexandria via LeMat-Bulk.

ρ (Mg/m³): 6.22
DOS at the Fermi energy (states/eV/cell): 1.988
SG: F-43m, No. 216

Unit cell a=4.3186 b=4.3186 c=4.3186 alpha=60.00 beta=60.00 gamma=60.00
Last column: nearest neighbours and their distance in Å.
Sites, in units of the cell vectors:
Ni1 0.7500 0.7500 0.7500  4 Te 2.64, 4 Al 2.64
Te1 0.0000 0.0000 0.0000  4 Ni 2.64
Al1 0.5000 0.5000 0.5000  4 Ni 2.64

=====

Most stable = entry Q

=====

Entry P
First-principles (GGA-PBE) data for a relaxed AlNi3Te crystal, as listed in Alexandria via LeMat-Bulk.

ρ (Mg/m³): 6.62
DOS at the Fermi energy (states/eV/cell): 3.555
SG: Pm-3m, No. 221

Unit cell a=4.3621 b=4.3621 c=4.3621 alpha=90.00 beta=90.00 gamma=90.00
Last column: nearest neighbours and their distance in Å.
Sites, in units of the cell vectors:
Ni1 0.0000 0.5000 0.0000  2 Al 2.18
Ni2 0.0000 0.0000 0.5000  2 Al 2.18
Ni3 0.5000 0.0000 0.0000  2 Al 2.18
Te1 0.5000 0.5000 0.5000  12 Ni 3.08
Al1 0.0000 0.0000 0.0000  6 Ni 2.18

=====

Entry Q
First-principles (GGA-PBE) data for a relaxed AlNi3Te crystal, as listed in Alexandria via LeMat-Bulk.

ρ (Mg/m³): 5.55
DOS at the Fermi energy (states/eV/cell): 9.957
SG: Pm-3m, No. 221

Unit cell a=4.6241 b=4.6241 c=4.6241 alpha=90.00 beta=90.00 gamma=90.00
Last column: nearest neighbours and their distance in Å.
Sites, in units of the cell vectors:
Ni1 0.0000 0.5000 0.0000  2 Te 2.31
Ni2 0.0000 0.0000 0.5000  2 Te 2.31
Ni3 0.5000 0.0000 0.0000  2 Te 2.31
Te1 0.0000 0.0000 0.0000  6 Ni 2.31
Al1 0.5000 0.5000 0.5000  12 Ni 3.27

=====

Most stable = entry P

=====

Entry P
First-principles (GGA-PBE) data for a relaxed Th2AlNi4 crystal, as listed in Alexandria via LeMat-Bulk.

ρ (Mg/m³): 9.07
DOS at the Fermi energy (states/eV/cell): 4.885
SG: Cmmm, No. 65

Unit cell a=4.1104 b=4.9725 c=6.9619 alpha=110.92 beta=90.00 gamma=90.00
Last column: nearest neighbours and their distance in Å.
Sites, in units of the cell vectors:
Ni1 0.5000 0.5944 0.1888  2 Al 2.39, 3 Ni 2.46, 2 Th 2.59
Ni2 0.0000 0.6983 0.3966  2 Ni 2.46, 1 Al 2.58
Ni3 0.5000 0.4056 0.8112  2 Al 2.39, 3 Ni 2.46, 2 Th 2.59
Ni4 0.0000 0.3017 0.6034  2 Ni 2.46, 1 Al 2.58
Al1 0.0000 0.5000 0.0000  6 Ni 2.39-2.58
Th1 0.5000 0.1498 0.2996  4 Ni 2.59-2.85
Th2 0.5000 0.8502 0.7004  4 Ni 2.59-2.85

=====

Entry Q
First-principles (GGA-PBE) data for a relaxed Th2AlNi4 crystal, as listed in Alexandria via LeMat-Bulk.

ρ (Mg/m³): 9.02
DOS at the Fermi energy (states/eV/cell): 6.564
SG: Fmmm, No. 69

Unit cell a=5.5583 b=5.5583 c=5.8602 alpha=118.71 beta=118.71 gamma=89.27
Last column: nearest neighbours and their distance in Å.
Sites, in units of the cell vectors:
Th1 0.2500 0.7500 0.5000  8 Ni 2.79-2.97
Th2 0.7500 0.2500 0.5000  8 Ni 2.79-2.97
Al1 0.0000 0.0000 0.0000  4 Ni 2.37-2.55
Ni1 0.6774 0.6775 0.0000  2 Ni 2.41, 1 Al 2.55
Ni2 0.3225 0.3226 0.0000  2 Ni 2.41, 1 Al 2.55
Ni3 0.2736 0.2736 0.5472  1 Al 2.37, 2 Ni 2.41
Ni4 0.7264 0.7264 0.4528  1 Al 2.37, 2 Ni 2.41

=====

Most stable = entry P